# 1
Computed, not measured: a relaxed CsRhF5 crystal at the PBE level of DFT.

a b c (Å): 7.1489 7.1489 7.1596
angles (deg): 106.40 114.33 107.73
Fractional coordinates of all 14 atoms:
Rh 0.0000 0.0000 0.0000
Rh 0.5000 0.0000 0.5000
F 0.9971 0.2216 0.2248
F 0.5032 0.2277 0.7248
F 0.6760 0.9260 0.7500
F 0.1710 0.2265 0.9511
F 0.3240 0.0740 0.2500
F 0.7754 0.2198 0.5489
F 0.2246 0.7802 0.4511
F 0.4968 0.7723 0.2752
F 0.8290 0.7735 0.0489
F 0.0029 0.7784 0.7752
Cs 0.2833 0.5333 0.7500
Cs 0.7167 0.4667 0.2500

Computed properties:
* formation energy without anion corrections: -1956 meV per atom
* magnetization: 1.0 μB per formula unit
* crystal system: monoclinic
* E: -4.465 eV/atom



# 2
Computed, not measured: a relaxed Cs3Rh2F9 crystal at the PBE level of DFT.

a b c (Å): 6.4130 6.4130 16.5926
angles (deg): 90.00 90.00 120.00
Fractional coordinates of all 28 atoms:
Rh 0.3333 0.6667 0.6655
Rh 0.6667 0.3333 0.3345
Rh 0.3333 0.6667 0.8345
Rh 0.6667 0.3333 0.1655
F 0.1890 0.8110 0.5966
F 0.5257 0.4743 0.2500
F 0.1890 0.3780 0.5966
F 0.1890 0.8110 0.9034
F 0.5257 0.0513 0.2500
F 0.3780 0.1890 0.4034
F 0.8110 0.6220 0.4034
F 0.3780 0.1890 0.0966
F 0.6220 0.8110 0.9034
F 0.4743 0.5257 0.7500
F 0.1890 0.3780 0.9034
F 0.4743 0.9487 0.7500
F 0.9487 0.4743 0.2500
F 0.8110 0.6220 0.0966
F 0.8110 0.1890 0.4034
F 0.8110 0.1890 0.0966
F 0.0513 0.5257 0.7500
F 0.6220 0.8110 0.5966
Cs 0.3333 0.6667 0.0693
Cs 0.0000 0.0000 0.2500
Cs 0.6667 0.3333 0.5693
Cs 0.0000 0.0000 0.7500
Cs 0.3333 0.6667 0.4307
Cs 0.6667 0.3333 0.9307

Computed properties:
* formation energy without anion corrections: -2144 meV per atom
* magnetization: 0.0 μB per formula unit
* crystal system: hexagonal
* E: -4.580 eV/atom



# 3
Computed, not measured: a relaxed Cs2RuRhF crystal at the PBE level of DFT.

a b c (Å): 6.6461 4.5930 6.6461
angles (deg): 90.00 90.00 90.00
Fractional coordinates of all 5 atoms:
Cs 0.5000 0.0000 0.0000
Cs 0.0000 0.0000 0.5000
F 0.5000 0.5000 0.5000
Ru 0.0000 0.5000 0.0000
Rh 0.0000 0.0000 0.0000

Computed properties:
* formation energy without anion corrections: 162 meV per atom
* magnetization: 1.5 μB per formula unit
* crystal system: tetragonal
* E: -3.879 eV/atom



Repeat the first record exactly.
Computed, not measured: a relaxed CsRhF5 crystal at the PBE level of DFT.

a b c (Å): 7.1489 7.1489 7.1596
angles (deg): 106.40 114.33 107.73
Fractional coordinates of all 14 atoms:
Rh 0.0000 0.0000 0.0000
Rh 0.5000 0.0000 0.5000
F 0.9971 0.2216 0.2248
F 0.5032 0.2277 0.7248
F 0.6760 0.9260 0.7500
F 0.1710 0.2265 0.9511
F 0.3240 0.0740 0.2500
F 0.7754 0.2198 0.5489
F 0.2246 0.7802 0.4511
F 0.4968 0.7723 0.2752
F 0.8290 0.7735 0.0489
F 0.0029 0.7784 0.7752
Cs 0.2833 0.5333 0.7500
Cs 0.7167 0.4667 0.2500

Computed properties:
* formation energy without anion corrections: -1956 meV per atom
* magnetization: 1.0 μB per formula unit
* crystal system: monoclinic
* E: -4.465 eV/atom